(1)
Material: Mg5Ga4Sn
Method: DFT, PBE
State: relaxed

```
data_Mg5Ga4Sn
_cell_length_a 3.411
_cell_length_b 3.411
_cell_length_c 17.534
_cell_angle_alpha 90.00
_cell_angle_beta 90.00
_cell_angle_gamma 90.00
_space_group_name_H-M_alt 'P 4/m m m'
_space_group_IT_number 123
_space_group_name_Hall '-P 4 2'
loop_
_atom_site_label
_atom_site_type_symbol
_atom_site_fract_x
_atom_site_fract_y
_atom_site_fract_z
Mg1 Mg 0.000 0.000 0.000
Mg2 Mg 0.000 0.000 0.190
Mg3 Mg 0.000 0.000 0.381
Ga1 Ga 0.500 0.500 0.094
Ga2 Ga 0.500 0.500 0.285
Sn1 Sn 0.500 0.500 0.500
```

---

(2)
Material: MgGa3Sn2
Method: DFT, PBE
State: relaxed

```
data_MgGa3Sn2
_cell_length_a 4.692
_cell_length_b 13.763
_cell_length_c 4.109
_cell_angle_alpha 90.00
_cell_angle_beta 90.00
_cell_angle_gamma 90.00
_space_group_name_H-M_alt 'C m m m'
_space_group_IT_number 65
_space_group_name_Hall '-C 2 2'
loop_
_atom_site_label
_atom_site_type_symbol
_atom_site_fract_x
_atom_site_fract_y
_atom_site_fract_z
Mg1 Mg 0.000 0.000 0.000
Ga1 Ga 0.000 0.160 0.500
Ga2 Ga 0.000 0.500 0.500
Sn1 Sn 0.000 0.337 0.000
```

---

(3)
Material: Mg6GaSn3
Method: DFT, PBE
State: relaxed

```
data_Mg6GaSn3
_cell_length_a 9.896
_cell_length_b 16.034
_cell_length_c 6.119
_cell_angle_alpha 90.00
_cell_angle_beta 90.00
_cell_angle_gamma 90.00
_space_group_name_H-M_alt 'C m c 21'
_space_group_IT_number 36
loop_
_space_group_symop_operation_xyz
'x,y,z'
'-x,-y,z+1/2'
'-x,y,z'
'x,-y,z+1/2'
'x+1/2,y+1/2,z'
'-x+1/2,-y+1/2,z+1/2'
'-x+1/2,y+1/2,z'
'x+1/2,-y+1/2,z+1/2'
loop_
_atom_site_label
_atom_site_type_symbol
_atom_site_fract_x
_atom_site_fract_y
_atom_site_fract_z
Mg1 Mg 0.000 0.027 0.000
Mg2 Mg 0.000 0.329 0.185
Mg3 Mg 0.165 0.498 0.923
Mg4 Mg 0.238 0.195 0.129
Ga1 Ga 0.000 0.147 0.329
Sn1 Sn 0.000 0.378 0.678
Sn2 Sn 0.181 0.129 0.681
```

---

(4)
Material: MgGaSn2
Method: DFT, PBE
State: relaxed

```
data_MgGaSn2
_cell_length_a 7.263
_cell_length_b 7.263
_cell_length_c 7.263
_cell_angle_alpha 90.00
_cell_angle_beta 90.00
_cell_angle_gamma 90.00
_space_group_name_H-M_alt 'F m -3 m'
_space_group_IT_number 225
_space_group_name_Hall '-F 4 2 3'
loop_
_atom_site_label
_atom_site_type_symbol
_atom_site_fract_x
_atom_site_fract_y
_atom_site_fract_z
Mg1 Mg 0.000 0.000 0.000
Ga1 Ga 0.000 0.000 0.500
Sn1 Sn 0.250 0.250 0.250
```

---

(5)
Material: MgGaSn
Method: DFT, PBE
State: relaxed

```
data_MgGaSn
_cell_length_a 6.664
_cell_length_b 6.664
_cell_length_c 6.664
_cell_angle_alpha 90.00
_cell_angle_beta 90.00
_cell_angle_gamma 90.00
_space_group_name_H-M_alt 'F -4 3 m'
_space_group_IT_number 216
_space_group_name_Hall 'F -4 2 3'
loop_
_atom_site_label
_atom_site_type_symbol
_atom_site_fract_x
_atom_site_fract_y
_atom_site_fract_z
Mg1 Mg 0.000 0.000 0.000
Ga1 Ga 0.250 0.250 0.250
Sn1 Sn 0.000 0.000 0.500
```

---

(6)
Material: MgGa6Sn
Method: DFT, PBE
State: relaxed

```
data_MgGa6Sn
_cell_length_a 3.937
_cell_length_b 8.970
_cell_length_c 9.078
_cell_angle_alpha 90.00
_cell_angle_beta 90.00
_cell_angle_gamma 90.00
_space_group_name_H-M_alt 'A m m 2'
_space_group_IT_number 38
loop_
_space_group_symop_operation_xyz
'x,y,z'
'-x,-y,z'
'-x,y,z'
'x,-y,z'
'x,y+1/2,z+1/2'
'-x,-y+1/2,z+1/2'
'-x,y+1/2,z+1/2'
'x,-y+1/2,z+1/2'
loop_
_atom_site_label
_atom_site_type_symbol
_atom_site_fract_x
_atom_site_fract_y
_atom_site_fract_z
Mg1 Mg 0.000 0.000 0.000
Ga1 Ga 0.000 0.000 0.477
Ga2 Ga 0.000 0.237 0.244
Ga3 Ga 0.500 0.000 0.245
Ga4 Ga 0.500 0.244 0.491
Sn1 Sn 0.500 0.000 0.732
```

---

(7)
Material: MgGa3Sn3
Method: DFT, PBE
State: relaxed

```
data_MgGa3Sn3
_cell_length_a 7.635
_cell_length_b 7.635
_cell_length_c 7.635
_cell_angle_alpha 90.00
_cell_angle_beta 90.00
_cell_angle_gamma 90.00
_space_group_name_H-M_alt 'P m -3 n'
_space_group_IT_number 223
_space_group_name_Hall '-P 4n 2 3'
loop_
_atom_site_label
_atom_site_type_symbol
_atom_site_fract_x
_atom_site_fract_y
_atom_site_fract_z
Mg1 Mg 0.000 0.000 0.000
Ga1 Ga 0.000 0.250 0.500
Sn1 Sn 0.000 0.500 0.250
```

---

(8)
Material: Mg3Ga4Sn
Method: DFT, PBE
State: relaxed

```
data_Mg3Ga4Sn
_cell_length_a 22.024
_cell_length_b 3.357
_cell_length_c 4.622
_cell_angle_alpha 90.00
_cell_angle_beta 100.22
_cell_angle_gamma 90.00
_space_group_name_H-M_alt 'C 1 2/m 1'
_space_group_IT_number 12
loop_
_space_group_symop_operation_xyz
'x,y,z'
'-x,-y,-z'
'-x,y,-z'
'x,-y,z'
'x+1/2,y+1/2,z'
'-x+1/2,-y+1/2,-z'
'-x+1/2,y+1/2,-z'
'x+1/2,-y+1/2,z'
loop_
_atom_site_label
_atom_site_type_symbol
_atom_site_fract_x
_atom_site_fract_y
_atom_site_fract_z
Mg1 Mg 0.000 0.000 0.000
Mg2 Mg 0.139 0.000 0.583
Ga1 Ga 0.109 0.500 0.056
Ga2 Ga 0.230 0.500 0.227
Sn1 Sn 0.000 0.500 0.500
```

---

(9)
Material: Mg3Ga6Sn
Method: DFT, PBE
State: relaxed

```
data_Mg3Ga6Sn
_cell_length_a 10.041
_cell_length_b 9.368
_cell_length_c 8.789
_cell_angle_alpha 90.00
_cell_angle_beta 90.00
_cell_angle_gamma 90.00
_space_group_name_H-M_alt 'C m c 21'
_space_group_IT_number 36
loop_
_space_group_symop_operation_xyz
'x,y,z'
'-x,-y,z+1/2'
'-x,y,z'
'x,-y,z+1/2'
'x+1/2,y+1/2,z'
'-x+1/2,-y+1/2,z+1/2'
'-x+1/2,y+1/2,z'
'x+1/2,-y+1/2,z+1/2'
loop_
_atom_site_label
_atom_site_type_symbol
_atom_site_fract_x
_atom_site_fract_y
_atom_site_fract_z
Mg1 Mg 0.000 0.058 0.000
Mg2 Mg 0.158 0.373 0.950
Ga1 Ga 0.000 0.209 0.682
Ga2 Ga 0.000 0.498 0.679
Ga3 Ga 0.235 0.111 0.792
Ga4 Ga 0.245 0.365 0.617
Sn1 Sn 0.000 0.222 0.326
```

---

(10)
Material: Mg6GaSn
Method: DFT, PBE
State: relaxed

```
data_Mg6GaSn
_cell_length_a 4.977
_cell_length_b 6.538
_cell_length_c 10.865
_cell_angle_alpha 90.00
_cell_angle_beta 90.00
_cell_angle_gamma 90.00
_space_group_name_H-M_alt 'A m m 2'
_space_group_IT_number 38
loop_
_space_group_symop_operation_xyz
'x,y,z'
'-x,-y,z'
'-x,y,z'
'x,-y,z'
'x,y+1/2,z+1/2'
'-x,-y+1/2,z+1/2'
'-x,y+1/2,z+1/2'
'x,-y+1/2,z+1/2'
loop_
_atom_site_label
_atom_site_type_symbol
_atom_site_fract_x
_atom_site_fract_y
_atom_site_fract_z
Mg1 Mg 0.000 0.000 0.000
Mg2 Mg 0.000 0.000 0.497
Mg3 Mg 0.000 0.240 0.250
Mg4 Mg 0.500 0.250 0.079
Ga1 Ga 0.500 0.000 0.332
Sn1 Sn 0.500 0.000 0.829
```

---

(11)
Material: MgGa4Sn
Method: DFT, PBE
State: relaxed

```
data_MgGa4Sn
_cell_length_a 11.972
_cell_length_b 8.395
_cell_length_c 6.073
_cell_angle_alpha 90.00
_cell_angle_beta 118.77
_cell_angle_gamma 90.00
_space_group_name_H-M_alt 'C 1 2/m 1'
_space_group_IT_number 12
loop_
_space_group_symop_operation_xyz
'x,y,z'
'-x,-y,-z'
'-x,y,-z'
'x,-y,z'
'x+1/2,y+1/2,z'
'-x+1/2,-y+1/2,-z'
'-x+1/2,y+1/2,-z'
'x+1/2,-y+1/2,z'
loop_
_atom_site_label
_atom_site_type_symbol
_atom_site_fract_x
_atom_site_fract_y
_atom_site_fract_z
Mg1 Mg 0.016 0.000 0.267
Ga1 Ga 0.000 0.296 0.000
Ga2 Ga 0.116 0.271 0.703
Ga3 Ga 0.226 0.000 0.197
Sn1 Sn 0.221 0.500 0.262
```

---

(12)
Material: Mg5GaSn4
Method: DFT, PBE
State: relaxed

```
data_Mg5GaSn4
_cell_length_a 3.687
_cell_length_b 3.687
_cell_length_c 17.170
_cell_angle_alpha 90.00
_cell_angle_beta 90.00
_cell_angle_gamma 90.00
_space_group_name_H-M_alt 'P 4/m m m'
_space_group_IT_number 123
_space_group_name_Hall '-P 4 2'
loop_
_atom_site_label
_atom_site_type_symbol
_atom_site_fract_x
_atom_site_fract_y
_atom_site_fract_z
Mg1 Mg 0.000 0.000 0.000
Mg2 Mg 0.000 0.000 0.207
Mg3 Mg 0.000 0.000 0.411
Ga1 Ga 0.500 0.500 0.500
Sn1 Sn 0.500 0.500 0.103
Sn2 Sn 0.500 0.500 0.309
```

---

no.,raw total energy (eV/cell)
1,-25.4
2,-37.4
3,-102.1
4,-50.5
5,-34.7
6,-47.9
7,-41.0
8,-42.4
9,-109.7
10,-34.3
11,-70.1
12,-28.0